Entry 1:
A relaxed structure of YRe2Ag. Source: Alexandria, functional PBEsol.

Calculated values
Crystal system: cubic
Offset from the most stable computed form in kJ per mole of atoms: 8.5
Space group: F-43m (216)
E in eV per atom: -8.803
Calculated formation energy in eV per atom: 0.396

Cell: 4.596 4.596 4.596 Å, 60.00 60.00 60.00°
Atoms (fractional coordinates):
Ag1 0.500 0.500 0.500
Re1 0.000 0.000 0.000
Re2 0.750 0.750 0.750
Y1 0.250 0.250 0.250


Entry 2:
A relaxed structure of YRe2Ag. Source: Alexandria, functional PBEsol.

Calculated values
Crystal system: orthorhombic
Offset from the most stable computed form in kJ per mole of atoms: 33.8
Space group: Cmmm (65)
E in eV per atom: -8.541
Calculated formation energy in eV per atom: 0.659

Cell: 2.729 2.729 9.517 Å, 90.00 90.00 107.57°
Atoms (fractional coordinates):
Ag1 0.500 0.500 0.000
Re1 0.000 0.000 0.240
Re2 0.000 0.000 0.760
Y1 0.500 0.500 0.500


Entry 3:
A relaxed structure of YRe2Ag. Source: Alexandria, functional PBEsol.

Calculated values
Crystal system: orthorhombic
Offset from the most stable computed form in kJ per mole of atoms: 20.2
Space group: Immm (71)
E in eV per atom: -8.681
Calculated formation energy in eV per atom: 0.518

Cell: 3.261 4.427 5.567 Å, 113.43 107.03 90.00°
Atoms (fractional coordinates):
Ag1 0.000 0.500 0.000
Re1 0.746 0.746 0.492
Re2 0.254 0.254 0.508
Y1 0.500 0.000 0.000


Entry 4:
A relaxed structure of ZnReAg2. Source: Alexandria, functional PBEsol.

Calculated values
Crystal system: monoclinic
Space group: P2/m (10)
E in eV per atom: -4.918
Calculated formation energy in eV per atom: 0.466

Cell: 2.632 4.490 5.233 Å, 90.00 101.01 90.00°
Atoms (fractional coordinates):
Ag1 0.834 0.000 0.745
Ag2 0.166 0.000 0.255
Re1 0.500 0.500 0.000
Zn1 0.000 0.500 0.500


Entry 5:
A relaxed structure of ZnReAg2. Source: Alexandria, functional PBEsol.

Calculated values
Crystal system: orthorhombic
Space group: Cmm2 (35)
E in eV per atom: -5.114
Calculated formation energy in eV per atom: 0.270

Cell: 2.667 2.667 8.843 Å, 90.00 90.00 105.19°
Atoms (fractional coordinates):
Ag1 0.000 0.000 0.012
Ag2 0.500 0.500 0.749
Re1 0.000 0.000 0.487
Zn1 0.500 0.500 0.252


Entry 6:
A relaxed structure of Zn2ReAg. Source: Alexandria, functional PBEsol.

Calculated values
Crystal system: orthorhombic
Offset from the most stable computed form in kJ per mole of atoms: 6.5
Space group: Pmm2 (25)
E in eV per atom: -4.617
Calculated formation energy in eV per atom: 0.335

Cell: 2.646 4.161 5.323 Å, 90.00 90.00 90.00°
Atoms (fractional coordinates):
Ag1 0.000 0.000 0.486
Re1 0.500 0.500 0.774
Zn1 0.000 0.000 0.976
Zn2 0.500 0.500 0.264


Entry 7:
A relaxed structure of Zn2ReAg. Source: Alexandria, functional PBEsol.

Calculated values
Crystal system: tetragonal
Offset from the most stable computed form in kJ per mole of atoms: 0.0
Space group: P4mm (99)
E in eV per atom: -4.684
Calculated formation energy in eV per atom: 0.268

Cell: 2.649 2.649 8.269 Å, 90.00 90.00 90.00°
Atoms (fractional coordinates):
Ag1 0.000 0.000 0.493
Re1 0.500 0.500 0.762
Zn1 0.000 0.000 0.004
Zn2 0.500 0.500 0.241


Entry 8:
A relaxed structure of Zr2ReAg. Source: Alexandria, functional PBEsol.

Calculated values
Crystal system: cubic
Offset from the most stable computed form in kJ per mole of atoms: 4.6
Space group: Fm-3m (225)
E in eV per atom: -8.863
Calculated formation energy in eV per atom: -0.157

Cell: 4.689 4.689 4.689 Å, 60.00 60.00 60.00°
Atoms (fractional coordinates):
Re1 0.500 0.500 0.500
Zr1 0.250 0.250 0.250
Zr2 0.750 0.750 0.750
Ag1 0.000 0.000 0.000